Record 1
Here is RuC after structural relaxation from the Alexandria database. Energies are from GGA-PBE.

Fermi-level density of states in states/eV/f.u.: 1.0
ΔE_f in meV/atom: 1055
E above lowest polymorph in meV/atom: 690

Cell lengths 2.8591, 2.8591, 2.9630 Å; angles 90.00, 90.00, 90.00 degrees
Closest atoms and distances in Å follow each position.
Positions (direct):
Ru: 0.0000 0.0000 0.0000  4 C 2.02
C: 0.5000 0.5000 0.0000  4 Ru 2.02

---

Record 2
Here is UCoMo after structural relaxation from the Alexandria database. Energies are from GGA-PBE.

Fermi-level density of states in states/eV/f.u.: 4.7
ΔE_f in meV/atom: 243
E above lowest polymorph in meV/atom: 78

Cell lengths 4.3980, 4.3980, 2.8153 Å; angles 90.00, 90.00, 120.00 degrees
Closest atoms and distances in Å follow each position.
Positions (direct):
U: 0.0000 0.0000 0.0000  3 Co 2.64, 3 Mo 2.65, 2 U 2.82
Co: 0.6667 0.3333 0.2560  3 U 2.64, 2 Co 2.82, 6 Mo 2.87-2.94
Mo: 0.3333 0.6667 0.7331  3 U 2.65, 2 Mo 2.82, 6 Co 2.87-2.94

---

Record 3
Here is Zn4CdAg7 after structural relaxation from the Alexandria database. Energies are from GGA-PBE.

Fermi-level density of states in states/eV/f.u.: 3.5
ΔE_f in meV/atom: 122

Cell lengths 6.8430, 6.8430, 7.9448 Å; angles 118.09, 118.09, 42.93 degrees
Closest atoms and distances in Å follow each position.
Positions (direct):
Zn: 0.0414 0.0414 0.2010  4 Ag 2.57-2.84, 2 Zn 2.67-2.81
Zn: 0.1830 0.1830 0.8509  6 Ag 2.57-2.85, 1 Zn 2.67
Zn: 0.8170 0.8170 0.1491  6 Ag 2.57-2.85, 1 Zn 2.67
Zn: 0.9586 0.9586 0.7990  4 Ag 2.57-2.84, 2 Zn 2.67-2.81
Cd: 0.5000 0.5000 0.5000  2 Ag 2.50
Ag: 0.0000 0.0000 0.5000  2 Cd 2.50, 4 Zn 2.57-2.68
Ag: 0.2496 0.2496 0.2232  4 Zn 2.57-2.80, 1 Cd 2.81
Ag: 0.3026 0.3026 0.6296  3 Zn 2.85-3.05, 7 Ag 2.95-3.08, 1 Cd 3.16
Ag: 0.4220 0.4220 0.0752  3 Zn 2.64-2.84, 1 Ag 2.79
Ag: 0.5780 0.5780 0.9248  3 Zn 2.64-2.84, 1 Ag 2.79
Ag: 0.6974 0.6974 0.3704  3 Zn 2.85-3.05, 7 Ag 2.95-3.08, 1 Cd 3.16
Ag: 0.7504 0.7504 0.7768  4 Zn 2.57-2.80, 1 Cd 2.81

---

Record 4
Here is RbCePa2O8 after structural relaxation from the Alexandria database. Energies are from GGA-PBE.

Total energy in eV per atom: -8.4742
Fermi-level density of states in states/eV/f.u.: 5.8

Cell lengths 6.7536, 6.7536, 6.7536 Å; angles 131.17, 131.17, 71.54 degrees
Closest atoms and distances in Å follow each position.
Positions (direct):
Rb: 0.0000 0.0000 0.0000  8 O 2.60
Ce: 0.2500 0.7500 0.5000  8 O 2.39
Pa: 0.5000 0.5000 0.0000  8 O 2.31
Pa: 0.7500 0.2500 0.5000  8 O 2.33
O: 0.1348 0.1452 0.5462  2 Pa 2.31-2.33, 1 Ce 2.39, 2 O 2.48-2.59
O: 0.1348 0.5886 0.9896  2 Pa 2.31-2.33, 1 Ce 2.39, 2 O 2.48-2.59
O: 0.4114 0.4010 0.5462  2 Pa 2.31-2.33, 1 Ce 2.39, 2 O 2.48-2.59
O: 0.4114 0.8652 0.0104  2 Pa 2.31-2.33, 1 Ce 2.39, 2 O 2.48-2.59
O: 0.5990 0.1452 0.0104  2 Pa 2.31-2.33, 1 Ce 2.39, 2 O 2.48-2.59
O: 0.5990 0.5886 0.4538  2 Pa 2.31-2.33, 1 Ce 2.39, 2 O 2.48-2.59
O: 0.8548 0.4010 0.9896  2 Pa 2.31-2.33, 1 Ce 2.39, 2 O 2.48-2.59
O: 0.8548 0.8652 0.4538  2 Pa 2.31-2.33, 1 Ce 2.39, 2 O 2.48-2.59

---

Record 5
Here is La2TaPb2 after structural relaxation from the Alexandria database. Energies are from GGA-PBE.

Fermi-level density of states in states/eV/f.u.: 4.3
ΔE_f in meV/atom: -42
E above lowest polymorph in meV/atom: 0

Cell lengths 7.8859, 7.8859, 4.7850 Å; angles 90.00, 90.00, 90.00 degrees
Closest atoms and distances in Å follow each position.
Positions (direct):
La: 0.1711 0.3289 0.0000  6 Pb 3.18-3.44
La: 0.3289 0.8289 0.0000  6 Pb 3.18-3.44
La: 0.6711 0.1711 0.0000  6 Pb 3.18-3.44
La: 0.8289 0.6711 0.0000  6 Pb 3.18-3.44
Ta: 0.0000 0.0000 0.5000  4 Pb 3.04
Ta: 0.5000 0.5000 0.5000  4 Pb 3.04
Pb: 0.1417 0.6417 0.5000  2 Ta 3.04, 1 Pb 3.16, 2 La 3.18
Pb: 0.3583 0.1417 0.5000  2 Ta 3.04, 1 Pb 3.16, 2 La 3.18
Pb: 0.6417 0.8583 0.5000  2 Ta 3.04, 1 Pb 3.16, 2 La 3.18
Pb: 0.8583 0.3583 0.5000  2 Ta 3.04, 1 Pb 3.16, 2 La 3.18

---

Record 6
Here is ZrTi4Cd2 after structural relaxation from the Alexandria database. Energies are from GGA-PBE.

Fermi-level density of states in states/eV/f.u.: 9.1
ΔE_f in meV/atom: 79

Cell lengths 10.5876, 10.5876, 2.9860 Å; angles 90.00, 90.00, 156.08 degrees
Closest atoms and distances in Å follow each position.
Positions (direct):
Zr: 0.0000 0.0000 0.0000  10 Ti 2.91-3.03, 2 Zr 2.99
Ti: 0.1405 0.8595 0.0000  1 Zr 2.91, 6 Ti 2.99-3.02, 4 Cd 3.01
Ti: 0.4294 0.5706 0.5000  1 Cd 2.86, 7 Ti 2.93-3.02, 4 Zr 3.03
Ti: 0.5706 0.4294 0.5000  1 Cd 2.86, 7 Ti 2.93-3.02, 4 Zr 3.03
Ti: 0.8595 0.1405 0.0000  1 Zr 2.91, 6 Ti 2.99-3.02, 4 Cd 3.01
Cd: 0.2911 0.7089 0.5000  4 Cd 2.78-2.99, 5 Ti 2.86-3.01
Cd: 0.7089 0.2911 0.5000  4 Cd 2.78-2.99, 5 Ti 2.86-3.01

---

Record 7
Here is SmTmSc2 after structural relaxation from the Alexandria database. Energies are from GGA-PBE.

Fermi-level density of states in states/eV/f.u.: 7.1
ΔE_f in meV/atom: 254
E above lowest polymorph in meV/atom: 201

Cell lengths 12.0200, 12.0200, 12.0200 Å; angles 15.97, 15.97, 15.97 degrees
Closest atoms and distances in Å follow each position.
Positions (direct):
Sm: 0.0000 0.0000 0.0000  6 Sm 3.34, 6 Sc 3.37
Tm: 0.5000 0.5000 0.5000  2 Sc 3.17, 6 Tm 3.34
Sc: 0.4110 0.4110 0.4110  1 Tm 3.17, 6 Sc 3.34, 3 Sm 3.37
Sc: 0.5890 0.5890 0.5890  1 Tm 3.17, 6 Sc 3.34, 3 Sm 3.37

---

Record 8
Here is Pu4Ge16Ir3 after structural relaxation from the Alexandria database. Energies are from GGA-PBE.

Fermi-level density of states in states/eV/f.u.: 35.5
ΔE_f in meV/atom: -290

Cell lengths 6.2279, 6.2279, 11.1974 Å; angles 90.00, 90.00, 90.00 degrees
Closest atoms and distances in Å follow each position.
Positions (direct):
Pu: 0.0000 0.5000 0.1872  12 Ge 3.05-3.16
Pu: 0.0000 0.5000 0.8128  12 Ge 3.05-3.16
Pu: 0.5000 0.0000 0.1872  12 Ge 3.05-3.16
Pu: 0.5000 0.0000 0.8128  12 Ge 3.05-3.16
Ge: 0.0000 0.0000 0.2130  8 Ge 2.83-3.04, 4 Pu 3.13
Ge: 0.0000 0.0000 0.7870  8 Ge 2.83-3.04, 4 Pu 3.13
Ge: 0.2137 0.2137 0.0000  1 Ir 2.52, 2 Ge 2.66
Ge: 0.2137 0.7863 0.0000  1 Ir 2.52, 2 Ge 2.66
Ge: 0.2465 0.2465 0.3752  2 Ir 2.61, 3 Ge 2.75-2.83
Ge: 0.2465 0.2465 0.6248  2 Ir 2.61, 3 Ge 2.75-2.83
Ge: 0.2465 0.7535 0.3752  2 Ir 2.61, 3 Ge 2.75-2.83
Ge: 0.2465 0.7535 0.6248  2 Ir 2.61, 3 Ge 2.75-2.83
Ge: 0.5000 0.5000 0.2325  1 Ir 2.60, 4 Ge 2.75
Ge: 0.5000 0.5000 0.7675  1 Ir 2.60, 4 Ge 2.75
Ge: 0.7535 0.2465 0.3752  2 Ir 2.61, 3 Ge 2.75-2.83
Ge: 0.7535 0.2465 0.6248  2 Ir 2.61, 3 Ge 2.75-2.83
Ge: 0.7535 0.7535 0.3752  2 Ir 2.61, 3 Ge 2.75-2.83
Ge: 0.7535 0.7535 0.6248  2 Ir 2.61, 3 Ge 2.75-2.83
Ge: 0.7863 0.2137 0.0000  1 Ir 2.52, 2 Ge 2.66
Ge: 0.7863 0.7863 0.0000  1 Ir 2.52, 2 Ge 2.66
Ir: 0.0000 0.5000 0.5000  8 Ge 2.61
Ir: 0.5000 0.0000 0.5000  8 Ge 2.61
Ir: 0.5000 0.5000 0.0000  6 Ge 2.52-2.60